No. 1
The following is a PBE-GGA calculation of a geometry-optimized Pm5H12Pd3 structure, from Alexandria via LeMat-Bulk.

## Properties
Space-group type: Ia-3d
Total energy in eV per atom: -4.074

a b c (Å): 10.902 10.902 10.902
angles (deg): 109.47 109.47 109.47
Sites, in units of the cell vectors:
H 0.382 0.471 0.136
H 0.382 0.910 0.745
Pm 0.625 0.875 0.250
Pd 0.250 0.125 0.375
H 0.118 0.364 0.029
Pm 0.500 0.000 0.000
H 0.165 0.029 0.910
Pm 0.875 0.625 0.750
H 0.590 0.255 0.118
Pm 0.125 0.375 0.250
Pd 0.875 0.750 0.125
H 0.410 0.745 0.882
Pm 0.250 0.875 0.125
H 0.029 0.165 0.410
Pd 0.750 0.375 0.125
H 0.118 0.755 0.590
H 0.910 0.382 0.245
Pm 0.000 0.500 0.500
Pm 0.750 0.125 0.875
Pm 0.375 0.250 0.125
Pd 0.750 0.875 0.625
Pm 0.125 0.750 0.375
H 0.971 0.835 0.590
H 0.665 0.255 0.636
H 0.471 0.382 0.636
Pm 0.250 0.375 0.625
Pm 0.000 0.500 0.000
H 0.835 0.971 0.090
H 0.618 0.090 0.255
Pm 0.500 0.000 0.500
H 0.864 0.835 0.745
Pd 0.625 0.375 0.750
H 0.971 0.136 0.882
H 0.529 0.618 0.364
H 0.835 0.864 0.245
H 0.529 0.910 0.665
Pd 0.250 0.625 0.875
H 0.864 0.029 0.618
Pd 0.875 0.125 0.250
H 0.910 0.529 0.165
Pd 0.375 0.750 0.625
H 0.745 0.335 0.864
H 0.090 0.471 0.835
H 0.029 0.864 0.118
H 0.745 0.410 0.382
Pm 0.875 0.250 0.625
Pd 0.125 0.875 0.750
Pm 0.500 0.500 0.500
H 0.636 0.755 0.665
H 0.136 0.165 0.255
H 0.090 0.618 0.755
H 0.245 0.882 0.910
Pm 0.375 0.125 0.750
Pm 0.500 0.500 0.000
H 0.136 0.971 0.382
H 0.245 0.364 0.835
Pd 0.375 0.625 0.250
Pm 0.750 0.625 0.375
Pd 0.625 0.250 0.375
H 0.255 0.590 0.618
H 0.590 0.335 0.971
H 0.665 0.410 0.529
H 0.255 0.665 0.136
H 0.755 0.118 0.090
Pm 0.625 0.750 0.875
H 0.755 0.636 0.165
Pd 0.125 0.250 0.875
Pm 0.000 0.000 0.000
Pm 0.000 0.000 0.500
H 0.636 0.882 0.471
H 0.364 0.245 0.335
H 0.471 0.090 0.335
H 0.618 0.529 0.864
H 0.882 0.245 0.410
H 0.410 0.665 0.029
H 0.364 0.118 0.529
H 0.335 0.590 0.471
H 0.335 0.745 0.364
H 0.882 0.636 0.971
H 0.165 0.136 0.755

---

No. 2
The following is a PBE-GGA calculation of a geometry-optimized PmH12Pd6 structure, from Alexandria via LeMat-Bulk.

## Properties
Space-group type: R-3
Total energy in eV per atom: -4.136

a b c (Å): 6.269 6.269 6.269
angles (deg): 111.93 111.93 111.93
Sites, in units of the cell vectors:
H 0.628 0.827 0.470
H 0.904 0.071 0.352
Pm 0.000 0.000 0.000
Pd 0.762 0.713 0.284
H 0.470 0.628 0.827
Pd 0.284 0.762 0.713
H 0.071 0.352 0.904
H 0.173 0.530 0.372
Pd 0.716 0.238 0.287
Pd 0.287 0.716 0.238
H 0.827 0.470 0.628
Pd 0.238 0.287 0.716
H 0.352 0.904 0.071
H 0.648 0.096 0.929
H 0.929 0.648 0.096
H 0.096 0.929 0.648
Pd 0.713 0.284 0.762
H 0.372 0.173 0.530
H 0.530 0.372 0.173

---

No. 3
The following is a PBE-GGA calculation of a geometry-optimized PmH6Pd7 structure, from Alexandria via LeMat-Bulk.

## Properties
Space-group type: R3
Total energy in eV per atom: -4.622

a b c (Å): 5.098 5.098 7.913
angles (deg): 71.21 71.21 60.00
Sites, in units of the cell vectors:
Pm 0.998 0.998 0.006
Pd 0.665 0.665 0.006
H 0.919 0.576 0.255
H 0.092 0.415 0.759
Pd 0.448 0.105 0.670
H 0.415 0.734 0.759
Pd 0.549 0.884 0.343
Pd 0.105 0.778 0.670
H 0.249 0.919 0.255
Pd 0.224 0.549 0.343
Pd 0.884 0.224 0.343
H 0.576 0.249 0.255
H 0.734 0.092 0.759
Pd 0.778 0.448 0.670

---

No. 4
The following is a PBE-GGA calculation of a geometry-optimized PmH2Pd6 structure, from Alexandria via LeMat-Bulk.

## Properties
Space-group type: Fd-3m
Total energy in eV per atom: -5.028

a b c (Å): 7.283 7.283 7.283
angles (deg): 60.00 60.00 60.00
Sites, in units of the cell vectors:
H 0.125 0.625 0.125
Pm 0.500 0.500 0.500
Pd 0.449 0.051 0.051
Pd 0.801 0.199 0.801
Pd 0.801 0.801 0.199
Pd 0.051 0.449 0.051
Pd 0.449 0.051 0.449
Pd 0.199 0.801 0.801
Pd 0.051 0.449 0.449
Pd 0.051 0.051 0.449
Pm 0.750 0.750 0.750
H 0.625 0.125 0.125
Pd 0.199 0.199 0.801
Pd 0.801 0.199 0.199
H 0.125 0.125 0.125
H 0.125 0.125 0.625
Pd 0.449 0.449 0.051
Pd 0.199 0.801 0.199

---

No. 5
The following is a PBE-GGA calculation of a geometry-optimized Pm12H5Pd3 structure, from Alexandria via LeMat-Bulk.

## Properties
Space-group type: Ia-3d
Total energy in eV per atom: -4.843

a b c (Å): 13.489 13.489 13.489
angles (deg): 109.47 109.47 109.47
Sites, in units of the cell vectors:
Pm 0.402 0.115 0.592
Pm 0.402 0.286 0.309
H 0.125 0.375 0.250
H 0.375 0.250 0.125
H 0.125 0.750 0.375
Pm 0.385 0.977 0.786
Pm 0.023 0.408 0.809
Pm 0.615 0.592 0.902
H 0.750 0.125 0.875
Pm 0.977 0.592 0.191
Pd 0.250 0.125 0.375
Pd 0.750 0.875 0.625
Pm 0.885 0.598 0.908
Pm 0.523 0.309 0.908
Pm 0.691 0.214 0.598
Pm 0.408 0.023 0.309
Pm 0.385 0.408 0.098
Pd 0.750 0.375 0.125
Pm 0.977 0.385 0.286
H 0.250 0.875 0.125
Pm 0.598 0.885 0.408
Pm 0.214 0.523 0.615
Pm 0.115 0.402 0.092
H 0.500 0.000 0.000
Pm 0.786 0.309 0.902
Pm 0.714 0.115 0.023
H 0.875 0.250 0.625
Pd 0.875 0.750 0.125
Pm 0.615 0.023 0.214
Pm 0.523 0.214 0.115
Pm 0.908 0.098 0.885
Pm 0.023 0.615 0.714
H 0.500 0.500 0.500
Pm 0.191 0.098 0.714
H 0.500 0.000 0.500
Pm 0.902 0.092 0.615
Pd 0.125 0.875 0.750
Pd 0.875 0.125 0.250
Pm 0.885 0.286 0.477
Pd 0.250 0.625 0.875
Pm 0.286 0.402 0.809
Pm 0.714 0.598 0.191
Pm 0.286 0.885 0.977
H 0.625 0.750 0.875
Pm 0.908 0.809 0.523
Pm 0.092 0.902 0.115
H 0.625 0.875 0.250
Pm 0.902 0.809 0.786
H 0.000 0.000 0.000
Pm 0.477 0.691 0.092
Pm 0.214 0.691 0.098
Pd 0.625 0.250 0.375
H 0.000 0.500 0.000
Pm 0.691 0.477 0.592
Pd 0.375 0.625 0.250
H 0.000 0.000 0.500
H 0.375 0.125 0.750
Pm 0.809 0.902 0.286
Pm 0.408 0.385 0.598
H 0.750 0.625 0.375
H 0.250 0.375 0.625
Pm 0.309 0.523 0.408
Pm 0.786 0.477 0.385
Pd 0.625 0.375 0.750
H 0.875 0.625 0.750
Pm 0.098 0.908 0.385
Pm 0.592 0.615 0.402
H 0.500 0.500 0.000
Pm 0.598 0.714 0.691
Pm 0.592 0.977 0.691
Pm 0.115 0.714 0.523
Pm 0.191 0.092 0.977
H 0.000 0.500 0.500
Pd 0.125 0.250 0.875
Pm 0.809 0.908 0.023
Pm 0.092 0.191 0.477
Pm 0.477 0.786 0.885
Pm 0.098 0.191 0.214
Pm 0.309 0.786 0.402
Pd 0.375 0.750 0.625

---

No. 6
The following is a PBE-GGA calculation of a geometry-optimized PmH4Pd2 structure, from Alexandria via LeMat-Bulk.

## Properties
Space-group type: Cmcm
Energy above the lowest structure with this stoichiometry in meV per atom: 25.3

a b c (Å): 3.459 5.113 8.743
angles (deg): 90.00 90.00 109.77
Sites, in units of the cell vectors:
H 0.925 0.851 0.750
H 0.500 0.000 0.500
Pm 0.411 0.821 0.250
H 0.249 0.498 0.605
H 0.249 0.498 0.895
H 0.751 0.502 0.105
H 0.075 0.149 0.250
Pd 0.140 0.279 0.443
H 0.500 0.000 0.000
Pd 0.140 0.279 0.057
Pd 0.860 0.721 0.557
H 0.751 0.502 0.395
Pm 0.589 0.179 0.750
Pd 0.860 0.721 0.943